# 1
Entry from the Alexandria database: a geometry-optimized NaCaAg3 structure (PBE).

Cell and atoms, written as POSCAR:
```
NaCaAg3
1.0
5.088 0.000 0.000
0.000 5.088 0.000
0.000 0.000 5.088
Na Ca Ag
1 1 3
direct
0.000 0.000 0.000
0.500 0.500 0.500
0.000 0.000 0.500
0.000 0.500 0.000
0.500 0.000 0.000
```

Properties
Density of states at the Fermi level = 0.40 states/eV per atom
Theoretical density = 4875 kg/m3
Relative energy among the computed polymorphs = 0 meV per atom
DFT formation energy = 0.310 eV/atom

---

# 2
Entry from the Alexandria database: a geometry-optimized HoErAg structure (PBE).

Cell and atoms, written as POSCAR:
```
HoErAg
1.0
4.395 -2.535 0.000
4.395 2.535 0.000
-2.947 0.000 7.288
Ho Er Ag
2 2 2
direct
0.000 0.000 0.000
0.165 0.165 0.494
0.581 0.581 0.744
0.746 0.746 0.236
0.304 0.304 0.913
0.442 0.442 0.324
```

Properties
Density of states at the Fermi level = 1.00 states/eV per atom
Theoretical density = 8999 kg/m3
Relative energy among the computed polymorphs = 145 meV per atom
DFT formation energy = -0.063 eV/atom

---

# 3
Entry from the Alexandria database: a geometry-optimized Nd5Y12Tm2 structure (PBE).

Cell and atoms, written as POSCAR:
```
Nd5Y12Tm2
1.0
7.827 -4.690 0.000
7.827 4.690 0.000
-0.291 0.000 8.697
Nd Y Tm
5 12 2
direct
0.000 0.000 0.000
0.230 0.230 0.071
0.295 0.295 0.481
0.705 0.705 0.519
0.770 0.770 0.929
0.032 0.673 0.263
0.074 0.074 0.375
0.181 0.562 0.831
0.327 0.968 0.737
0.438 0.819 0.169
0.443 0.443 0.166
0.557 0.557 0.834
0.562 0.181 0.831
0.673 0.032 0.263
0.819 0.438 0.169
0.926 0.926 0.625
0.968 0.327 0.737
0.328 0.672 0.500
0.672 0.328 0.500
```

Properties
Density of states at the Fermi level = 1.37 states/eV per atom
Theoretical density = 5530 kg/m3
Relative energy among the computed polymorphs = 92 meV per atom
DFT formation energy = 0.112 eV/atom

---

# 4
Entry from the Alexandria database: a geometry-optimized HoErZr structure (PBE).

Cell and atoms, written as POSCAR:
```
HoErZr
1.0
5.330 0.000 0.000
-2.665 4.616 0.000
0.000 0.000 3.370
Ho Er Zr
1 1 1
direct
0.000 0.000 0.000
0.333 0.667 0.500
0.667 0.333 0.500
```

Properties
Density of states at the Fermi level = 1.85 states/eV per atom
Theoretical density = 8479 kg/m3
Relative energy among the computed polymorphs = 50 meV per atom
DFT formation energy = 0.119 eV/atom

---

# 5
Entry from the Alexandria database: a geometry-optimized CdGa3Pt structure (PBE).

Cell and atoms, written as POSCAR:
```
CdGa3Pt
1.0
4.893 0.000 0.000
0.000 4.893 0.000
0.000 0.000 4.893
Cd Ga Pt
1 3 1
direct
0.000 0.000 0.000
0.000 0.500 0.500
0.500 0.000 0.500
0.500 0.500 0.000
0.500 0.500 0.500
```

Properties
Density of states at the Fermi level = 0.42 states/eV per atom
Theoretical density = 7323 kg/m3
Relative energy among the computed polymorphs = 0 meV per atom
DFT formation energy = -0.158 eV/atom

---

# 6
Entry from the Alexandria database: a geometry-optimized Mg6Ni16As7 structure (PBE).

Cell and atoms, written as POSCAR:
```
Mg6Ni16As7
1.0
0.000 5.780 5.780
5.780 0.000 5.780
5.780 5.780 0.000
Mg Ni As
6 16 7
direct
0.200 0.200 0.800
0.200 0.800 0.200
0.200 0.800 0.800
0.800 0.200 0.200
0.800 0.200 0.800
0.800 0.800 0.200
0.146 0.618 0.618
0.167 0.167 0.167
0.167 0.167 0.499
0.167 0.499 0.167
0.382 0.382 0.382
0.382 0.382 0.854
0.382 0.854 0.382
0.499 0.167 0.167
0.501 0.833 0.833
0.618 0.146 0.618
0.618 0.618 0.146
0.618 0.618 0.618
0.833 0.501 0.833
0.833 0.833 0.501
0.833 0.833 0.833
0.854 0.382 0.382
0.000 0.000 0.500
0.000 0.500 0.000
0.000 0.500 0.500
0.500 0.000 0.000
0.500 0.000 0.500
0.500 0.500 0.000
0.500 0.500 0.500
```

Properties
Density of states at the Fermi level = 0.52 states/eV per atom
Theoretical density = 6918 kg/m3
DFT formation energy = -0.355 eV/atom

---

# 7
Entry from the Alexandria database: a geometry-optimized Y2HoH8 structure (PBE).

Cell and atoms, written as POSCAR:
```
Y2HoH8
1.0
-1.816 2.569 5.447
1.816 -2.569 5.447
1.816 2.569 -5.447
Y Ho H
2 1 8
direct
0.168 0.168 0.000
0.832 0.832 0.000
0.500 0.500 0.000
0.081 0.340 0.741
0.233 0.000 0.233
0.342 0.842 0.500
0.401 0.660 0.741
0.599 0.340 0.259
0.658 0.158 0.500
0.767 0.000 0.767
0.919 0.660 0.259
```

Properties
Density of states at the Fermi level = 0.11 states/eV per atom
Theoretical density = 5733 kg/m3
DFT total energy = -4.65 eV/atom

---

# 8
Entry from the Alexandria database: a geometry-optimized TbDy2Th structure (PBE).

Cell and atoms, written as POSCAR:
```
TbDy2Th
1.0
5.030 0.000 0.000
0.000 5.030 0.000
0.000 0.000 5.012
Tb Dy Th
1 2 1
direct
0.000 0.000 0.000
0.000 0.500 0.500
0.500 0.000 0.500
0.500 0.500 0.000
```

Properties
Density of states at the Fermi level = 1.44 states/eV per atom
Theoretical density = 9376 kg/m3
Relative energy among the computed polymorphs = 15 meV per atom
DFT formation energy = 0.040 eV/atom

---

# 9
Entry from the Alexandria database: a geometry-optimized CsIn5Ag2 structure (PBE).

Cell and atoms, written as POSCAR:
```
CsIn5Ag2
1.0
-2.330 4.194 5.788
2.330 -4.194 5.788
2.330 4.194 -5.788
Cs In Ag
1 5 2
direct
0.000 0.000 0.000
0.160 0.350 0.810
0.459 0.650 0.810
0.500 0.000 0.500
0.541 0.350 0.190
0.840 0.650 0.190
0.258 0.758 0.500
0.742 0.242 0.500
```

Properties
Density of states at the Fermi level = 0.41 states/eV per atom
Theoretical density = 6773 kg/m3
DFT formation energy = -0.061 eV/atom

---

# 10
Entry from the Alexandria database: a geometry-optimized VFe2Pt structure (PBE).

Cell and atoms, written as POSCAR:
```
VFe2Pt
1.0
4.301 0.000 0.000
-2.151 3.725 0.000
0.000 0.000 4.186
V Fe Pt
1 2 1
direct
0.000 0.000 0.000
0.000 0.000 0.500
0.333 0.667 0.500
0.667 0.333 0.500
```

Properties
Density of states at the Fermi level = 1.47 states/eV per atom
Theoretical density = 8857 kg/m3
DFT formation energy = 0.602 eV/atom

---

# 11
Entry from the Alexandria database: a geometry-optimized ReBSeBr2 structure (PBE).

Cell and atoms, written as POSCAR:
```
ReBSeBr2
1.0
5.267 0.000 0.000
0.000 5.267 0.000
0.000 0.000 4.704
Re B Se Br
1 1 1 2
direct
0.000 0.000 0.000
0.500 0.500 0.500
0.000 0.000 0.500
0.000 0.500 0.000
0.500 0.000 0.000
```

Properties
Density of states at the Fermi level = 0.84 states/eV per atom
Energy relative to the elements, uncorrected = 1278 meV/atom
Theoretical density = 5547 kg/m3
Relative energy among the computed polymorphs = 0 meV per atom

---

# 12
Entry from the Alexandria database: a geometry-optimized Y2HoIr structure (PBE).

Cell and atoms, written as POSCAR:
```
Y2HoIr
1.0
1.859 1.073 10.496
-1.859 1.073 10.496
0.000 -2.146 10.496
Y Ho Ir
2 1 1
direct
0.112 0.112 0.112
0.888 0.888 0.888
0.000 0.000 0.000
0.500 0.500 0.500
```

Properties
Density of states at the Fermi level = 1.34 states/eV per atom
Theoretical density = 7072 kg/m3
Relative energy among the computed polymorphs = 493 meV per atom
DFT formation energy = -0.081 eV/atom

---

Which formula does entry 6 have? Mg6Ni16As7